Record 1
CuBPb | PBE | optimized geometry

Computed properties:
- Fermi-level density of states: 0.22 states/eV/atom
- Energy above the lowest structure with this stoichiometry: 386 meV per atom
- Energy of formation: 632 meV per atom
- Total DFT energy (no corrections): -4.196 eV/atom

The structure in POSCAR format:
```
CuBPb
1.0
-0.053 0.566 5.840
3.700 -0.620 0.093
1.704 10.031 -0.956
Pb B Cu
4 4 4
Direct
0.500 0.250 0.341
0.000 0.750 0.841
0.000 0.250 0.159
0.500 0.750 0.659
0.500 0.750 0.136
0.500 0.250 0.864
0.000 0.750 0.364
0.000 0.250 0.636
0.000 0.250 0.429
0.500 0.250 0.071
0.000 0.750 0.571
0.500 0.750 0.929
```



Record 2
CuB3Pb | PBE | optimized geometry

Computed properties:
- Fermi-level density of states: 0.58 states/eV/atom
- Energy above the lowest structure with this stoichiometry: 0 meV per atom
- Energy of formation: 1572 meV per atom
- Total DFT energy (no corrections): -3.995 eV/atom

The structure in POSCAR format:
```
CuB3Pb
1.0
-3.851 1.046 0.997
-1.211 -0.788 -3.851
-0.789 -3.899 1.046
B Cu Pb
3 1 1
Direct
0.500 0.000 0.000
0.000 0.500 0.000
0.000 0.000 0.500
0.000 0.000 0.000
0.500 0.500 0.500
```



Q: Which formula does entry 2 have?
A: CuB3Pb



Q: The highest energy above the lowest structure with this stoichiometry belongs to which entry?
A: CuBPb



Copy entry 2 word for word.
CuB3Pb | PBE | optimized geometry

Computed properties:
- Fermi-level density of states: 0.58 states/eV/atom
- Energy above the lowest structure with this stoichiometry: 0 meV per atom
- Energy of formation: 1572 meV per atom
- Total DFT energy (no corrections): -3.995 eV/atom

The structure in POSCAR format:
```
CuB3Pb
1.0
-3.851 1.046 0.997
-1.211 -0.788 -3.851
-0.789 -3.899 1.046
B Cu Pb
3 1 1
Direct
0.500 0.000 0.000
0.000 0.500 0.000
0.000 0.000 0.500
0.000 0.000 0.000
0.500 0.500 0.500
```